Entry 1:
A plane-wave DFT calculation with GGA-PBE was carried out for an optimized crystal structure of ErZnCo.

Output
- DOS(E_F): 4.33 states/eV/cell
- Formation enthalpy at 0 K: -0.042 eV/atom
- Total magnetization: 1.95 Bohr magnetons per cell
- V: 52.9 Å³/f.u.

Cell lengths 5.385, 5.385, 5.381 Å; angles 85.97, 124.70, 120.08 degrees
Atoms (fractional coordinates):
Zn 0.500 0.500 0.500
Co 0.750 0.016 0.766
Co 0.250 0.984 0.234
Er 0.750 0.371 0.121
Er 0.250 0.629 0.879
Zn 0.000 0.000 0.500


Entry 2:
A plane-wave DFT calculation with GGA-PBE was carried out for an optimized crystal structure of Mn2CoH3.

Output
- DOS(E_F): 4.74 states/eV/cell
- Total magnetization: 4.85 Bohr magnetons per cell
- Uncorrected energy: -0.2174 Ha/atom
- V: 39.6 Å³/f.u.

Cell lengths 2.630, 2.630, 6.016 Å; angles 102.56, 102.57, 90.08 degrees
Atoms (fractional coordinates):
Mn 0.098 0.099 0.200
H 0.267 0.268 0.540
H 0.602 0.603 0.208
Co 0.434 0.436 0.874
H 0.934 0.936 0.874
Mn 0.771 0.772 0.548


Entry 3:
A plane-wave DFT calculation with GGA-PBE was carried out for an optimized crystal structure of DyY8Sc4.

Output
- DOS(E_F): 18.32 states/eV/cell
- Formation enthalpy at 0 K: 0.265 eV/atom
- Total magnetization: 0.00 Bohr magnetons per cell
- V: 393.3 Å³/f.u.

Cell lengths 7.057, 7.057, 9.988 Å; angles 90.00, 110.69, 120.00 degrees
Atoms (fractional coordinates):
Sc 0.500 0.000 0.000
Sc 0.500 0.500 0.000
Y 0.036 0.788 0.284
Y 0.036 0.248 0.284
Y 0.964 0.752 0.716
Y 0.964 0.212 0.716
Y 0.496 0.248 0.284
Y 0.428 0.214 0.642
Y 0.572 0.786 0.358
Sc 0.000 0.000 0.000
Sc 0.000 0.500 0.000
Y 0.504 0.752 0.716
Dy 0.000 0.500 0.500


Entry 4:
A plane-wave DFT calculation with GGA-PBE was carried out for an optimized crystal structure of MnIn2Ga2.

Output
- DOS(E_F): 5.72 states/eV/cell
- Formation enthalpy at 0 K: 0.170 eV/atom
- Total magnetization: 7.04 Bohr magnetons per cell
- V: 103.8 Å³/f.u.

Cell lengths 6.810, 6.810, 4.477 Å; angles 90.00, 90.00, 90.00 degrees
Atoms (fractional coordinates):
In 0.177 0.677 0.500
Ga 0.638 0.138 0.000
In 0.677 0.823 0.500
In 0.823 0.323 0.500
In 0.323 0.177 0.500
Ga 0.362 0.862 0.000
Mn 0.000 0.000 0.000
Ga 0.862 0.638 0.000
Mn 0.500 0.500 0.000
Ga 0.138 0.362 0.000


Entry 5:
A plane-wave DFT calculation with GGA-PBE was carried out for an optimized crystal structure of ScCr2N.

Output
- DOS(E_F): 5.60 states/eV/cell
- Total magnetization: 7.75 Bohr magnetons per cell
- V: 65.1 Å³/f.u.
- Formation energy without anion corrections: 0.06 eV/atom

Cell lengths 5.824, 5.824, 5.631 Å; angles 58.86, 58.86, 90.00 degrees
Atoms (fractional coordinates):
Cr 0.290 0.625 0.250
Cr 0.875 0.710 0.750
Sc 0.750 0.250 0.500
Cr 0.460 0.125 0.250
N 0.500 0.500 0.000
Cr 0.375 0.540 0.750
N 0.250 0.750 0.500
Sc 0.000 0.000 0.000


Entry 6:
A plane-wave DFT calculation with GGA-PBE was carried out for an optimized crystal structure of LiAl4Sb.

Output
- DOS(E_F): 2.47 states/eV/cell
- Total magnetization: 0.00 Bohr magnetons per cell
- V: 117.3 Å³/f.u.
- Formation energy without anion corrections: 0.08 eV/atom

Cell lengths 5.494, 5.494, 5.494 Å; angles 60.00, 60.00, 60.00 degrees
Atoms (fractional coordinates):
Li 0.750 0.750 0.750
Al 0.376 0.873 0.376
Al 0.376 0.376 0.376
Sb 0.000 0.000 0.000
Al 0.376 0.376 0.873
Al 0.873 0.376 0.376